# 1
This record from Alexandria via LeMat-Bulk describes a relaxed structure of PtWCl3. The functional is GGA-PBEsol.

Computed properties:
**Symmetry**: Pm-3m
**Uncorrected energy**: -0.3107 Ry per atom

The structure in extended XYZ format:
```
5
Lattice="-3.1259 -0.5739 3.5706 -1.3508 -4.1927 -1.8565 3.3547 -2.2230 2.5796" Properties=species:S:1:pos:R:3 pbc="T T T"
W -0.5610 -3.4948 2.1469
Pt 0.0000 0.0000 0.0000
Cl -0.6754 -2.0964 -0.9282
Cl 1.6774 -1.1115 1.2898
Cl -1.5630 -0.2870 1.7853
```

---

# 2
This record from Alexandria via LeMat-Bulk describes a relaxed structure of Pt2WCl. The functional is GGA-PBEsol.

Computed properties:
**Symmetry**: P4/mmm
**Uncorrected energy**: -0.4831 Ry per atom

The structure in extended XYZ format:
```
4
Lattice="3.7390 0.0000 0.0000 0.0000 3.7390 0.0000 0.0000 0.0000 4.4407" Properties=species:S:1:pos:R:3 pbc="T T T"
W 1.8695 1.8695 2.2204
Pt 0.0000 1.8695 0.0000
Pt 1.8695 0.0000 0.0000
Cl 0.0000 0.0000 2.2204
```

---

# 3
This record from Alexandria via LeMat-Bulk describes a relaxed structure of PtW2Cl. The functional is GGA-PBEsol.

Computed properties:
**Symmetry**: Amm2
**Uncorrected energy**: -0.6431 Ry per atom

The structure in extended XYZ format:
```
4
Lattice="2.7609 0.0000 0.0000 0.0000 4.2729 0.0000 -1.3804 0.0000 5.1587" Properties=species:S:1:pos:R:3 pbc="T T T"
W 0.0000 0.0000 0.8340
W 0.0000 2.1364 4.4002
Pt 1.3804 2.1364 1.9022
Cl 0.0000 0.0000 3.2913
```

---

# 4
This record from Alexandria via LeMat-Bulk describes a relaxed structure of Pt2WCl. The functional is GGA-PBEsol.

Computed properties:
**Symmetry**: P2/m
**Uncorrected energy**: -0.5535 Ry per atom

The structure in extended XYZ format:
```
4
Lattice="-0.7918 -2.6955 0.3691 2.7361 -0.8252 -0.1571 0.7209 0.8854 7.9050" Properties=species:S:1:pos:R:3 pbc="T T T"
W 0.9722 -1.7603 0.1060
Pt -0.2323 -2.0061 6.4929
Pt 0.1614 0.1961 1.7811
Cl 1.7285 0.0301 3.8740
```

---

# 5
This record from Alexandria via LeMat-Bulk describes a relaxed structure of YPt2Cl. The functional is GGA-PBEsol.

Computed properties:
**Symmetry**: C2/m
**Uncorrected energy**: -0.4664 Ry per atom

The structure in extended XYZ format:
```
4
Lattice="3.0125 -0.0008 0.0000 -0.0421 4.4345 0.0000 -1.4852 -2.2168 5.4671" Properties=species:S:1:pos:R:3 pbc="T T T"
Y 1.5062 -0.0004 0.0000
Pt -0.7426 -1.1084 2.7336
Pt 0.7426 1.1084 2.7336
Cl -0.0210 2.2173 0.0000
```

---

# 6
This record from Alexandria via LeMat-Bulk describes a relaxed structure of YPtCl2. The functional is GGA-PBEsol.

Computed properties:
**Symmetry**: R-3m
**Uncorrected energy**: -0.3372 Ry per atom

The structure in extended XYZ format:
```
4
Lattice="3.9535 0.0000 0.0000 1.9767 3.4238 0.0000 1.9767 1.1413 7.3926" Properties=species:S:1:pos:R:3 pbc="T T T"
Y 0.0000 0.0000 0.0000
Pt 3.9535 2.2825 3.6963
Cl 5.9302 3.4238 2.5486
Cl 1.9767 1.1413 4.8440
```

---

# 7
This record from Alexandria via LeMat-Bulk describes a relaxed structure of YPt2Cl. The functional is GGA-PBEsol.

Computed properties:
**Symmetry**: Fm-3m
**Uncorrected energy**: -0.4381 Ry per atom

The structure in extended XYZ format:
```
4
Lattice="-2.5836 3.1122 -2.4458 -2.1211 -1.3237 -4.0114 -4.7041 -0.4363 -0.1536" Properties=species:S:1:pos:R:3 pbc="T T T"
Y -4.7044 0.6761 -3.3054
Pt -2.3522 0.3381 -1.6527
Pt -7.0565 1.0142 -4.9581
Cl 0.0000 0.0000 0.0000
```

---

# 8
This record from Alexandria via LeMat-Bulk describes a relaxed structure of YPtCl2. The functional is GGA-PBEsol.

Computed properties:
**Symmetry**: Immm
**Uncorrected energy**: -0.4026 Ry per atom

The structure in extended XYZ format:
```
4
Lattice="-3.3856 0.3069 0.8808 0.5771 -3.0937 3.2964 2.9013 6.0685 2.0369" Properties=species:S:1:pos:R:3 pbc="T T T"
Y 0.2886 -1.5469 1.6482
Pt -1.6928 0.1535 0.4404
Cl -0.9407 0.0542 3.3660
Cl 1.0335 3.2275 2.8481
```

---

# 9
This record from Alexandria via LeMat-Bulk describes a relaxed structure of YPt2Cl. The functional is GGA-PBEsol.

Computed properties:
**Symmetry**: R3m
**Uncorrected energy**: -0.4826 Ry per atom

The structure in extended XYZ format:
```
4
Lattice="-0.0450 0.4273 -4.2153 -0.7105 -3.3731 -2.4639 -6.3673 0.1731 -2.0441" Properties=species:S:1:pos:R:3 pbc="T T T"
Y -3.8619 -1.3296 -4.3527
Pt -5.3351 -0.0219 -2.0749
Pt -5.7519 -2.0022 -6.5303
Cl -2.1026 -0.6324 -2.1712
```

---

# 10
This record from Alexandria via LeMat-Bulk describes a relaxed structure of YZnPt2Cl. The functional is GGA-PBEsol.

Computed properties:
**Symmetry**: P4/mmm
**Uncorrected energy**: -0.3295 Ry per atom

The structure in extended XYZ format:
```
5
Lattice="4.9675 0.0000 0.0000 0.0000 5.1317 0.0000 0.0000 0.0000 5.1317" Properties=species:S:1:pos:R:3 pbc="T T T"
Y 0.0000 0.0000 0.0000
Zn 2.4837 2.5659 2.5659
Pt 0.0000 0.0000 2.5659
Pt 0.0000 2.5659 0.0000
Cl 2.4837 0.0000 0.0000
```

---

# 11
This record from Alexandria via LeMat-Bulk describes a relaxed structure of Zn2PtCl. The functional is GGA-PBEsol.

Computed properties:
**Symmetry**: P4/mmm
**Uncorrected energy**: -0.2404 Ry per atom

The structure in extended XYZ format:
```
4
Lattice="2.8554 0.0000 0.0000 0.0000 4.6330 0.0000 0.0000 0.0000 4.6401" Properties=species:S:1:pos:R:3 pbc="T T T"
Zn 0.0000 0.0000 0.0000
Zn 0.0000 2.3165 2.3200
Pt 1.4277 0.0000 2.3200
Cl 1.4277 2.3165 0.0000
```

---

# 12
This record from Alexandria via LeMat-Bulk describes a relaxed structure of Zn2PtCl. The functional is GGA-PBEsol.

Computed properties:
**Symmetry**: Cmm2
**Uncorrected energy**: -0.2238 Ry per atom

The structure in extended XYZ format:
```
4
Lattice="2.9527 -0.0197 0.0000 -1.3496 2.6263 0.0000 0.0000 0.0000 8.2506" Properties=species:S:1:pos:R:3 pbc="T T T"
Zn 0.0000 0.0000 8.1985
Zn 0.8016 1.3033 6.1590
Pt 0.8016 1.3033 1.9013
Cl 0.0000 0.0000 4.3677
```

---

# 13
This record from Alexandria via LeMat-Bulk describes a relaxed structure of Zn2PtCl. The functional is GGA-PBEsol.

Computed properties:
**Symmetry**: Immm
**Uncorrected energy**: -0.2245 Ry per atom

The structure in extended XYZ format:
```
4
Lattice="3.0286 0.0000 0.0000 1.5143 5.0208 0.1520 1.5143 0.9282 4.9366" Properties=species:S:1:pos:R:3 pbc="T T T"
Zn 3.0286 4.4667 3.8207
Zn 3.0286 1.4823 1.2679
Pt 1.5143 2.9745 2.5443
Cl 1.5143 0.0000 0.0000
```

---

# 14
This record from Alexandria via LeMat-Bulk describes a relaxed structure of ZnPtCl. The functional is GGA-PBEsol.

Computed properties:
**Symmetry**: I4mm
**Uncorrected energy**: -0.2636 Ry per atom

The structure in extended XYZ format:
```
3
Lattice="2.9507 0.0000 0.0000 0.0000 2.9507 0.0000 -1.4754 -1.4754 5.5106" Properties=species:S:1:pos:R:3 pbc="T T T"
Zn 0.0000 0.0000 3.5954
Pt 1.4754 1.4754 2.0577
Cl 1.4754 1.4754 5.3682
```

---

# 15
This record from Alexandria via LeMat-Bulk describes a relaxed structure of ZrPt3Cl. The functional is GGA-PBEsol.

Computed properties:
**Symmetry**: Pm-3m
**Uncorrected energy**: -0.4271 Ry per atom

The structure in extended XYZ format:
```
5
Lattice="-4.4218 0.7304 0.3934 -0.8205 -4.1658 -1.4877 0.1227 -1.5339 4.2276" Properties=species:S:1:pos:R:3 pbc="T T T"
Zr -2.5598 -2.4846 1.5666
Pt -0.4103 -2.0829 -0.7439
Pt 0.0614 -0.7670 2.1138
Pt -2.2109 0.3652 0.1967
Cl 0.0000 0.0000 0.0000
```